Density functional theory data (PBE) for an optimized crystal structure of OsRh5.

```
OsRh5
1.0
1.9200 -5.7554 0.0000
1.9200 5.7554 0.0000
0.0000 0.0000 3.8505
Os Rh
1 5
Direct
0.0000 0.0000 0.0000
0.1652 0.8348 0.5000
0.3381 0.6619 0.0000
0.5000 0.5000 0.5000
0.6619 0.3381 0.0000
0.8348 0.1652 0.5000
```

The symmetry is Cmmm. The value obtained for the total energy is -7.969 eV/atom. For the formation energy, the calculation gives 0.0286 eV/atom. The density of states at the Fermi level comes out at 6.59 states/eV per cell. As for the calculated volume: 14.18 Å³/atom.



Density functional theory data (PBE) for an optimized crystal structure of Os2Rh.

```
Os2Rh
1.0
3.4939 0.0000 0.0000
-1.7470 3.0258 0.0000
0.0000 0.0000 4.8857
Os Rh
2 1
Direct
0.3333 0.6667 0.3707
0.6667 0.3333 0.6293
0.0000 0.0000 0.0000
```

The symmetry is P-3m1. The value obtained for the total energy is -8.860 eV/atom. For the formation energy, the calculation gives 1.0766 eV/atom. The density of states at the Fermi level comes out at 3.04 states/eV per cell. As for the calculated volume: 17.22 Å³/atom.



Density functional theory data (PBE) for an optimized crystal structure of Os2Rh.

```
Os2Rh
1.0
2.7218 0.0000 0.0000
-1.3609 2.3571 0.0000
0.0000 0.0000 6.7018
Os Rh
2 1
Direct
0.3333 0.6667 0.1599
0.6667 0.3333 0.8401
0.0000 0.0000 0.5000
```

The symmetry is P-3m1. The value obtained for the total energy is -9.853 eV/atom. For the formation energy, the calculation gives 0.0837 eV/atom. The density of states at the Fermi level comes out at 3.30 states/eV per cell. As for the calculated volume: 14.33 Å³/atom.



Which formula does entry 1 have?
OsRh5



Among the records above, which one has the highest calculated volume?
number 2



calculated volume of number 3 (Os2Rh)?
14.33 Å³/atom



What is the formula in the second record?
Os2Rh